(1)
A relaxed Li4Tb3ErTe8 crystal, computed with GGA-PBE.

a = 8.6930 Å, b = 8.6662 Å, c = 8.6933 Å
α = 120.10°, β = 120.00°, γ = 90.00°
With the nearest neighbours (Å) after each atom.
Atoms (fractional coordinates):
Te: 0.7496 0.2450 0.4992  3 Li 3.04-3.06, 1 Er 3.07, 2 Tb 3.10
Te: 0.7522 0.7564 0.5043  3 Li 3.04, 3 Tb 3.10
Te: 0.2478 0.2436 0.4957  3 Li 3.04, 3 Tb 3.10
Te: 0.2504 0.7550 0.0046  3 Li 3.04-3.06, 1 Er 3.07, 2 Tb 3.10
Te: 0.2504 0.7550 0.5008  3 Li 3.04-3.06, 1 Er 3.07, 2 Tb 3.10
Te: 0.2457 0.2450 0.9954  3 Li 3.04-3.06, 1 Er 3.07, 2 Tb 3.10
Te: 0.7496 0.2450 0.9954  3 Li 3.04-3.06, 1 Er 3.07, 2 Tb 3.10
Te: 0.7543 0.7550 0.0046  3 Li 3.04-3.06, 1 Er 3.07, 2 Tb 3.10
Tb: 0.5000 0.5000 0.0000  6 Te 3.10
Tb: 0.5000 0.5000 0.5000  6 Te 3.10
Tb: 0.0000 0.5000 0.5000  6 Te 3.10
Li: 0.0000 0.0000 0.0000  6 Te 3.04
Li: 0.5000 0.0000 0.0000  6 Te 3.06
Li: 0.0000 0.0000 0.5000  6 Te 3.04
Li: 0.5000 0.0000 0.5000  6 Te 3.04
Er: 0.0000 0.5000 0.0000  6 Te 3.07

Final energy in eV per atom: -4.4946
Raw formation energy in meV/atom: -1292



(2)
A relaxed LiTb2ErTe4 crystal, computed with GGA-PBE.

a = 4.3107 Å, b = 7.4994 Å, c = 7.5245 Å
α = 109.14°, β = 90.00°, γ = 90.00°
With the nearest neighbours (Å) after each atom.
Atoms (fractional coordinates):
Li: 0.0000 0.0000 0.0000  6 Te 2.99-3.01
Tb: 0.0000 0.5000 0.5000  6 Te 3.12-3.13
Tb: 0.5000 0.0000 0.5000  6 Te 3.08
Te: 0.5000 0.2422 0.2393  2 Li 3.01, 1 Er 3.04, 3 Tb 3.08-3.12
Te: 0.0000 0.2470 0.7590  1 Li 2.99, 2 Er 3.05, 3 Tb 3.08-3.13
Te: 0.0000 0.7530 0.2410  1 Li 2.99, 2 Er 3.05, 3 Tb 3.08-3.13
Te: 0.5000 0.7578 0.7607  2 Li 3.01, 1 Er 3.04, 3 Tb 3.08-3.12
Er: 0.5000 0.5000 0.0000  6 Te 3.04-3.05

Final energy in eV per atom: -4.8438
Raw formation energy in meV/atom: -1306



(3)
A relaxed LiTbEr2Te4 crystal, computed with GGA-PBE.

a = 4.2981 Å, b = 7.5069 Å, c = 7.4899 Å
α = 109.15°, β = 90.00°, γ = 90.00°
With the nearest neighbours (Å) after each atom.
Atoms (fractional coordinates):
Te: 0.5000 0.7428 0.7514  1 Li 3.00, 3 Er 3.04-3.11, 2 Tb 3.08
Te: 0.5000 0.2572 0.2486  1 Li 3.00, 3 Er 3.04-3.11, 2 Tb 3.08
Te: 0.0000 0.2575 0.7546  2 Li 3.02, 3 Er 3.04-3.09, 1 Tb 3.07
Te: 0.0000 0.7425 0.2454  2 Li 3.02, 3 Er 3.04-3.09, 1 Tb 3.07
Li: 0.5000 0.5000 0.0000  6 Te 3.00-3.02
Er: 0.5000 0.0000 0.5000  6 Te 3.09-3.11
Er: 0.0000 0.5000 0.5000  6 Te 3.04
Tb: 0.0000 0.0000 0.0000  6 Te 3.07-3.08

Final energy in eV per atom: -4.8167
Raw formation energy in meV/atom: -1287



(4)
A relaxed Li2TbErTe4 crystal, computed with GGA-PBE.

a = 4.3385 Å, b = 7.5079 Å, c = 7.4860 Å
α = 109.50°, β = 90.00°, γ = 90.00°
With the nearest neighbours (Å) after each atom.
Atoms (fractional coordinates):
Li: 0.0000 0.5000 0.5000  6 Te 3.03
Li: 0.5000 0.0000 0.5000  6 Te 3.05-3.06
Te: 0.5000 0.2542 0.2555  3 Li 3.03-3.05, 1 Er 3.07, 2 Tb 3.09
Te: 0.0000 0.2514 0.7459  3 Li 3.03-3.06, 2 Er 3.07, 1 Tb 3.09
Te: 0.5000 0.7458 0.7445  3 Li 3.03-3.05, 1 Er 3.07, 2 Tb 3.09
Te: 0.0000 0.7486 0.2541  3 Li 3.03-3.06, 2 Er 3.07, 1 Tb 3.09
Er: 0.5000 0.5000 0.0000  6 Te 3.07
Tb: 0.0000 0.0000 0.0000  6 Te 3.09

Final energy in eV per atom: -4.4864
Raw formation energy in meV/atom: -1288



(5)
A relaxed Li2TbErTl4 crystal, computed with GGA-PBE.

a = 5.1842 Å, b = 5.1842 Å, c = 8.9510 Å
α = 73.17°, β = 73.17°, γ = 60.00°
With the nearest neighbours (Å) after each atom.
Atoms (fractional coordinates):
Li: 0.2499 0.2499 0.2503  8 Tl 3.14-3.18
Li: 0.7501 0.7501 0.7497  8 Tl 3.14-3.18
Tl: 0.1258 0.1258 0.6228  4 Li 3.14-3.18, 3 Er 3.17, 1 Tb 3.18
Tl: 0.8742 0.8742 0.3772  4 Li 3.14-3.18, 3 Er 3.17, 1 Tb 3.18
Tl: 0.6243 0.6243 0.1272  1 Er 3.14, 4 Li 3.17-3.18, 3 Tb 3.18
Tl: 0.3757 0.3757 0.8728  1 Er 3.14, 4 Li 3.17-3.18, 3 Tb 3.18
Er: 0.5000 0.5000 0.5000  8 Tl 3.14-3.17
Tb: 0.0000 0.0000 0.0000  8 Tl 3.18

Final energy in eV per atom: -3.1239



(6)
A relaxed LiTb2ErTl4 crystal, computed with GGA-PBE.

a = 5.2327 Å, b = 5.2327 Å, c = 9.3196 Å
α = 73.70°, β = 73.70°, γ = 60.00°
With the nearest neighbours (Å) after each atom.
Atoms (fractional coordinates):
Tl: 0.1268 0.1268 0.6196  4 Tb 3.13-3.19, 3 Li 3.20, 1 Er 3.35
Tl: 0.3764 0.3764 0.8708  3 Er 3.23, 4 Tb 3.25-3.47, 1 Li 3.27
Tl: 0.8732 0.8732 0.3804  4 Tb 3.13-3.19, 3 Li 3.20, 1 Er 3.35
Tl: 0.6236 0.6236 0.1292  3 Er 3.23, 4 Tb 3.25-3.47, 1 Li 3.27
Li: 0.5000 0.5000 0.5000  8 Tl 3.20-3.27
Er: 0.0000 0.0000 0.0000  8 Tl 3.23-3.35
Tb: 0.7547 0.7547 0.7360  8 Tl 3.13-3.47
Tb: 0.2453 0.2453 0.2640  8 Tl 3.13-3.47

Final energy in eV per atom: -3.4751



(7)
A relaxed LiTbErTm crystal, computed with GGA-PBE.

a = 5.4282 Å, b = 5.4282 Å, c = 5.4282 Å
α = 60.00°, β = 60.00°, γ = 60.00°
With the nearest neighbours (Å) after each atom.
Atoms (fractional coordinates):
Li: 0.0000 0.0000 0.0000  4 Er 3.32, 4 Tb 3.32
Er: 0.2500 0.2500 0.2500  4 Li 3.32, 4 Tm 3.32
Tb: 0.7500 0.7500 0.7500  4 Tm 3.32, 4 Li 3.32
Tm: 0.5000 0.5000 0.5000  4 Tb 3.32, 4 Er 3.32

Final energy in eV per atom: -3.7269



(8)
A relaxed LiTbYEr crystal, computed with GGA-PBE.

a = 5.4697 Å, b = 5.4697 Å, c = 5.4697 Å
α = 60.00°, β = 60.00°, γ = 60.00°
With the nearest neighbours (Å) after each atom.
Atoms (fractional coordinates):
Y: 0.2500 0.2500 0.2500  4 Li 3.35, 4 Er 3.35
Li: 0.0000 0.0000 0.0000  4 Tb 3.35, 4 Y 3.35
Er: 0.5000 0.5000 0.5000  4 Y 3.35, 4 Tb 3.35
Tb: 0.7500 0.7500 0.7500  4 Li 3.35, 4 Er 3.35

Final energy in eV per atom: -4.2227



(9)
A relaxed LiTbErZn crystal, computed with GGA-PBE.

a = 5.0885 Å, b = 5.0885 Å, c = 5.0885 Å
α = 60.00°, β = 60.00°, γ = 60.00°
With the nearest neighbours (Å) after each atom.
Atoms (fractional coordinates):
Tb: 0.7500 0.7500 0.7500  4 Zn 3.12, 4 Li 3.12
Zn: 0.5000 0.5000 0.5000  4 Er 3.12, 4 Tb 3.12
Er: 0.2500 0.2500 0.2500  4 Li 3.12, 4 Zn 3.12
Li: 0.0000 0.0000 0.0000  4 Tb 3.12, 4 Er 3.12

Final energy in eV per atom: -3.2119



(10)
A relaxed LiErThTc crystal, computed with GGA-PBE.

a = 4.9902 Å, b = 4.9902 Å, c = 4.9902 Å
α = 60.00°, β = 60.00°, γ = 60.00°
With the nearest neighbours (Å) after each atom.
Atoms (fractional coordinates):
Er: 0.2500 0.2500 0.2500  4 Li 3.06, 4 Tc 3.06
Tc: 0.5000 0.5000 0.5000  4 Th 3.06, 4 Er 3.06
Th: 0.7500 0.7500 0.7500  4 Tc 3.06, 4 Li 3.06
Li: 0.0000 0.0000 0.0000  4 Th 3.06, 4 Er 3.06

Final energy in eV per atom: -6.1539



(11)
A relaxed LiErVTc crystal, computed with GGA-PBE.

a = 4.5714 Å, b = 4.5714 Å, c = 4.5714 Å
α = 60.00°, β = 60.00°, γ = 60.00°
With the nearest neighbours (Å) after each atom.
Atoms (fractional coordinates):
V: 0.7500 0.7500 0.7500  4 Li 2.80, 4 Tc 2.80
Tc: 0.0000 0.0000 0.0000  4 Er 2.80, 4 V 2.80
Li: 0.5000 0.5000 0.5000  4 Er 2.80, 4 V 2.80
Er: 0.2500 0.2500 0.2500  4 Li 2.80, 4 Tc 2.80

Final energy in eV per atom: -6.3624



(12)
A relaxed LiErZrTc crystal, computed with GGA-PBE.

a = 4.7735 Å, b = 4.7735 Å, c = 4.7735 Å
α = 60.00°, β = 60.00°, γ = 60.00°
With the nearest neighbours (Å) after each atom.
Atoms (fractional coordinates):
Zr: 0.2500 0.2500 0.2500  4 Tc 2.92, 4 Li 2.92
Er: 0.7500 0.7500 0.7500  4 Tc 2.92, 4 Li 2.92
Tc: 0.5000 0.5000 0.5000  4 Zr 2.92, 4 Er 2.92
Li: 0.0000 0.0000 0.0000  4 Er 2.92, 4 Zr 2.92

Final energy in eV per atom: -6.4654